La6C2SCl3: optimized geometry, PBE.

Cell lengths 6.875, 6.875, 7.584 Å; angles 98.70, 98.70, 120.01 degrees
Positions (direct):
C 0.667 0.333 0.000
Cl 0.164 0.836 0.500
La 0.421 0.066 0.199
La 0.579 0.934 0.801
C 0.333 0.667 0.000
La 0.712 0.712 0.198
Cl 0.500 0.500 0.500
La 0.934 0.579 0.801
La 0.288 0.288 0.802
S 0.000 0.000 0.000
La 0.066 0.421 0.199
Cl 0.836 0.164 0.500

Calculated values
* space group: C2/m
* calculated total energy: -6.1435 eV/atom
* Fermi-level density of states: 4.8 states/eV per cell
* uncorrected formation energy: -16.0 eV per formula unit



CdAuBr2: optimized geometry, PBE.

Cell lengths 4.028, 5.483, 5.370 Å; angles 85.80, 90.00, 90.00 degrees
Positions (direct):
Br 0.000 0.509 0.509
Au 0.500 0.750 0.750
Br 0.000 0.991 0.991
Cd 0.500 0.250 0.250

Calculated values
* offset from the most stable computed form: 4.06 kcal/mol of atoms
* space group: P2/m
* calculated total energy: -1.9728 eV/atom
* Fermi-level density of states: 1.1 states/eV per cell
* uncorrected formation energy: -0.4 eV per formula unit



BeAsSe2: optimized geometry, PBE.

Cell lengths 3.763, 3.761, 5.510 Å; angles 90.00, 90.00, 90.00 degrees
Positions (direct):
As 0.000 0.000 0.380
Be 0.500 0.500 0.817
Se 0.000 0.000 0.896
Se 0.500 0.500 0.407

Calculated values
* offset from the most stable computed form: 3.56 kcal/mol of atoms
* space group: P4mm
* calculated total energy: -3.7981 eV/atom
* Fermi-level density of states: 1.7 states/eV per cell
* uncorrected formation energy: 0.2 eV per formula unit



Please write out number 2 again, unchanged.
CdAuBr2: optimized geometry, PBE.

Cell lengths 4.028, 5.483, 5.370 Å; angles 85.80, 90.00, 90.00 degrees
Positions (direct):
Br 0.000 0.509 0.509
Au 0.500 0.750 0.750
Br 0.000 0.991 0.991
Cd 0.500 0.250 0.250

Calculated values
* offset from the most stable computed form: 4.06 kcal/mol of atoms
* space group: P2/m
* calculated total energy: -1.9728 eV/atom
* Fermi-level density of states: 1.1 states/eV per cell
* uncorrected formation energy: -0.4 eV per formula unit